Entry 1:
LiLaTb2Cd4 | PBE | optimized geometry

Structure (CIF):
```
data_LiLaTb2Cd4
_chemical_formula_sum 'Li3 La3 Tb6 Cd12'
_cell_length_a 5.2495
_cell_length_b 5.2495
_cell_length_c 26.3712
_cell_angle_alpha 90.00
_cell_angle_beta 90.00
_cell_angle_gamma 120.00
_symmetry_space_group_name_H-M 'R -3 m'
_symmetry_Int_Tables_number 166
_symmetry_space_group_name_Hall '-R 3 2"'
loop_
_atom_site_label
_atom_site_type_symbol
_atom_site_fract_x
_atom_site_fract_y
_atom_site_fract_z
_atom_site_occupancy
Li1 Li 0.0000 0.0000 0.0000 1
La1 La 0.0000 0.0000 0.5000 1
Tb1 Tb 0.0000 0.0000 0.2538 1
Cd1 Cd 0.0000 0.0000 0.1145 1
Cd2 Cd 0.0000 0.0000 0.3723 1
```

Properties
E_form, eV per atom: -0.263

=====

Entry 2:
AcNpB12 | PBE | optimized geometry

Structure (CIF):
```
data_AcNpB12
_chemical_formula_sum 'Ac1 Np1 B12'
_cell_length_a 4.147
_cell_length_b 4.147
_cell_length_c 8.299
_cell_angle_alpha 90.00
_cell_angle_beta 90.00
_cell_angle_gamma 90.00
_symmetry_space_group_name_H-M 'P 4/m m m'
_symmetry_Int_Tables_number 123
_symmetry_space_group_name_Hall '-P 4 2'
loop_
_atom_site_label
_atom_site_type_symbol
_atom_site_fract_x
_atom_site_fract_y
_atom_site_fract_z
_atom_site_occupancy
Ac1 Ac 0.000 0.000 0.000 1
Np1 Np 0.000 0.000 0.500 1
B1 B 0.199 0.500 0.254 1
B2 B 0.500 0.500 0.102 1
B3 B 0.500 0.500 0.402 1
```

Properties
E_form, eV per atom: -0.408

=====

Entry 3:
MnFeOs2 | PBE | optimized geometry

Structure (CIF):
```
data_MnFeOs2
_chemical_formula_sum 'Mn2 Fe2 Os4'
_cell_length_a 5.311
_cell_length_b 7.236
_cell_length_c 2.665
_cell_angle_alpha 90.00
_cell_angle_beta 90.00
_cell_angle_gamma 90.00
_symmetry_space_group_name_H-M 'C m m m'
_symmetry_Int_Tables_number 65
_symmetry_space_group_name_Hall '-C 2 2'
loop_
_atom_site_label
_atom_site_type_symbol
_atom_site_fract_x
_atom_site_fract_y
_atom_site_fract_z
_atom_site_occupancy
Mn1 Mn 0.000 0.000 0.000 1
Fe1 Fe 0.000 0.500 0.000 1
Os1 Os 0.250 0.250 0.500 1
```

Properties
E_form, eV per atom: 0.107

=====

Entry 4:
ScOsRu2 | PBE | optimized geometry

Structure (CIF):
```
data_ScOsRu2
_chemical_formula_sum 'Sc3 Os3 Ru6'
_cell_length_a 2.8213
_cell_length_b 2.8213
_cell_length_c 26.8066
_cell_angle_alpha 90.00
_cell_angle_beta 90.00
_cell_angle_gamma 120.00
_symmetry_space_group_name_H-M 'R -3 m'
_symmetry_Int_Tables_number 166
_symmetry_space_group_name_Hall '-R 3 2"'
loop_
_atom_site_label
_atom_site_type_symbol
_atom_site_fract_x
_atom_site_fract_y
_atom_site_fract_z
_atom_site_occupancy
Sc1 Sc 0.0000 0.0000 0.0000 1
Os1 Os 0.0000 0.0000 0.5000 1
Ru1 Ru 0.0000 0.0000 0.2469 1
```

Properties
E_form, eV per atom: 0.185

=====

Entry 5:
La8ZnS3I4 | PBE | optimized geometry

Structure (CIF):
```
data_La8ZnS3I4
_chemical_formula_sum 'La24 Zn3 S9 I12'
_cell_length_a 8.5097
_cell_length_b 8.5097
_cell_length_c 23.6781
_cell_angle_alpha 90.00
_cell_angle_beta 90.00
_cell_angle_gamma 120.00
_symmetry_space_group_name_H-M 'R -3 m'
_symmetry_Int_Tables_number 166
_symmetry_space_group_name_Hall '-R 3 2"'
loop_
_atom_site_label
_atom_site_type_symbol
_atom_site_fract_x
_atom_site_fract_y
_atom_site_fract_z
_atom_site_occupancy
La1 La 0.0000 0.0000 0.2303 1
La2 La 0.0119 0.5060 0.7674 1
Zn1 Zn 0.0000 0.0000 0.5000 1
S1 S 0.0000 0.5000 0.5000 1
I1 I 0.0000 0.0000 0.0000 1
I2 I 0.0000 0.5000 0.0000 1
```

Properties
Electronic total energy, eV/atom: -5.079

=====

Entry 6:
PmPu2Ga | PBE | optimized geometry

Structure (CIF):
```
data_PmPu2Ga
_chemical_formula_sum 'Pm4 Pu8 Ga4'
_cell_length_a 7.421
_cell_length_b 7.421
_cell_length_c 7.421
_cell_angle_alpha 90.00
_cell_angle_beta 90.00
_cell_angle_gamma 90.00
_symmetry_space_group_name_H-M 'F m -3 m'
_symmetry_Int_Tables_number 225
_symmetry_space_group_name_Hall '-F 4 2 3'
loop_
_atom_site_label
_atom_site_type_symbol
_atom_site_fract_x
_atom_site_fract_y
_atom_site_fract_z
_atom_site_occupancy
Pm1 Pm 0.000 0.000 0.000 1
Pu1 Pu 0.250 0.250 0.250 1
Ga1 Ga 0.000 0.000 0.500 1
```

Properties
E_form, eV per atom: 0.085